Entry 1:
# SrTaAg PBE relaxed
# SG: No. 2
# Energy relative to the elements, eV per formula unit: 1.2
# Energy above the lowest structure with this stoichiometry, kJ/mol of formula units: 53
# Electronic total energy, eV per atom: -5.05
# Theoretical density, g/cm3: 8.571
data_SrTaAg
_symmetry_space_group_name_H-M 'P 1'
_symmetry_Int_Tables_number 1
_cell_length_a 3.149
_cell_length_b 6.360
_cell_length_c 8.065
_cell_angle_alpha 69.41
_cell_angle_beta 89.88
_cell_angle_gamma 75.69
loop_
_symmetry_equiv_pos_as_xyz
'x,y,z'
loop_
_atom_site_label
_atom_site_type_symbol
_atom_site_fract_x
_atom_site_fract_y
_atom_site_fract_z
Sr1 Sr 0.151 0.197 0.112
Sr2 Sr 0.849 0.803 0.888
Ta1 Ta 0.160 0.181 0.514
Ta2 Ta 0.840 0.819 0.486
Ag1 Ag 0.456 0.588 0.290
Ag2 Ag 0.544 0.412 0.710

---

Entry 2:
# PaOsPdO6 PBE relaxed
# SG: No. 163
# Electronic total energy, eV per atom: -7.89
# Formation energy from raw total energies, eV/atom: -1.707
# Theoretical density, g/cm3: 8.777
data_PaOsPdO6
_symmetry_space_group_name_H-M 'P 1'
_symmetry_Int_Tables_number 1
_cell_length_a 5.459
_cell_length_b 5.459
_cell_length_c 9.145
_cell_angle_alpha 90.00
_cell_angle_beta 90.00
_cell_angle_gamma 120.00
loop_
_symmetry_equiv_pos_as_xyz
'x,y,z'
loop_
_atom_site_label
_atom_site_type_symbol
_atom_site_fract_x
_atom_site_fract_y
_atom_site_fract_z
Pa1 Pa 0.333 0.667 0.250
Pa2 Pa 0.667 0.333 0.750
Os1 Os 0.333 0.667 0.750
Os2 Os 0.667 0.333 0.250
Pd1 Pd 0.000 0.000 0.000
Pd2 Pd 0.000 0.000 0.500
O1 O 0.028 0.365 0.632
O2 O 0.028 0.663 0.868
O3 O 0.337 0.365 0.868
O4 O 0.337 0.972 0.632
O5 O 0.365 0.028 0.132
O6 O 0.365 0.337 0.368
O7 O 0.635 0.663 0.632
O8 O 0.635 0.972 0.868
O9 O 0.663 0.028 0.368
O10 O 0.663 0.635 0.132
O11 O 0.972 0.337 0.132
O12 O 0.972 0.635 0.368

---

Entry 3:
# Zn2IrAu2 PBE relaxed
# SG: No. 139
# Energy relative to the elements, eV per formula unit: 1.7
# Energy above the lowest structure with this stoichiometry, kJ/mol of formula units: 109
# Electronic total energy, eV per atom: -3.26
# Theoretical density, g/cm3: 14.110
data_Zn2IrAu2
_symmetry_space_group_name_H-M 'P 1'
_symmetry_Int_Tables_number 1
_cell_length_a 7.132
_cell_length_b 7.132
_cell_length_c 7.132
_cell_angle_alpha 151.13
_cell_angle_beta 151.13
_cell_angle_gamma 41.29
loop_
_symmetry_equiv_pos_as_xyz
'x,y,z'
loop_
_atom_site_label
_atom_site_type_symbol
_atom_site_fract_x
_atom_site_fract_y
_atom_site_fract_z
Zn1 Zn 0.250 0.750 0.500
Zn2 Zn 0.750 0.250 0.500
Ir1 Ir 0.000 0.000 0.000
Au1 Au 0.397 0.397 0.000
Au2 Au 0.603 0.603 0.000

---

Entry 4:
# Ba2GaI PBE relaxed
# SG: No. 122
# Energy above the lowest structure with this stoichiometry, kJ/mol of formula units: 99
# Electronic total energy, eV per atom: -2.69
# Formation energy from raw total energies, eV/atom: -0.586
# Theoretical density, g/cm3: 4.118
data_Ba2GaI
_symmetry_space_group_name_H-M 'P 1'
_symmetry_Int_Tables_number 1
_cell_length_a 7.907
_cell_length_b 7.907
_cell_length_c 7.907
_cell_angle_alpha 110.59
_cell_angle_beta 110.59
_cell_angle_gamma 107.26
loop_
_symmetry_equiv_pos_as_xyz
'x,y,z'
loop_
_atom_site_label
_atom_site_type_symbol
_atom_site_fract_x
_atom_site_fract_y
_atom_site_fract_z
Ba1 Ba 0.104 0.125 0.479
Ba2 Ba 0.375 0.896 0.021
Ba3 Ba 0.646 0.625 0.521
Ba4 Ba 0.875 0.354 0.979
Ga1 Ga 0.000 0.000 0.000
Ga2 Ga 0.750 0.250 0.500
I1 I 0.250 0.750 0.500
I2 I 0.500 0.500 0.000

---

Entry 5:
# Sm3ZnGa2Cu6 PBE relaxed
# SG: No. 164
# Energy relative to the elements, eV per formula unit: -1.7
# Electronic total energy, eV per atom: -3.98
# Theoretical density, g/cm3: 7.661
data_Sm3ZnGa2Cu6
_symmetry_space_group_name_H-M 'P 1'
_symmetry_Int_Tables_number 1
_cell_length_a 5.584
_cell_length_b 5.584
_cell_length_c 8.325
_cell_angle_alpha 90.00
_cell_angle_beta 90.00
_cell_angle_gamma 120.00
loop_
_symmetry_equiv_pos_as_xyz
'x,y,z'
loop_
_atom_site_label
_atom_site_type_symbol
_atom_site_fract_x
_atom_site_fract_y
_atom_site_fract_z
Sm1 Sm 0.000 0.000 0.000
Sm2 Sm 0.333 0.667 0.620
Sm3 Sm 0.667 0.333 0.380
Zn1 Zn 0.000 0.000 0.500
Ga1 Ga 0.333 0.667 0.014
Ga2 Ga 0.667 0.333 0.986
Cu1 Cu 0.182 0.363 0.276
Cu2 Cu 0.182 0.818 0.276
Cu3 Cu 0.363 0.182 0.724
Cu4 Cu 0.637 0.818 0.276
Cu5 Cu 0.818 0.182 0.724
Cu6 Cu 0.818 0.637 0.724

---

Entry 6:
# Tm3Mg4Cd2 PBE relaxed
# SG: No. 12
# Energy relative to the elements, eV per formula unit: -1.4
# Energy above the lowest structure with this stoichiometry, kJ/mol of formula units: 0
# Electronic total energy, eV per atom: -2.55
# Theoretical density, g/cm3: 6.197
data_Tm3Mg4Cd2
_symmetry_space_group_name_H-M 'P 1'
_symmetry_Int_Tables_number 1
_cell_length_a 6.083
_cell_length_b 6.083
_cell_length_c 9.369
_cell_angle_alpha 119.11
_cell_angle_beta 119.11
_cell_angle_gamma 49.34
loop_
_symmetry_equiv_pos_as_xyz
'x,y,z'
loop_
_atom_site_label
_atom_site_type_symbol
_atom_site_fract_x
_atom_site_fract_y
_atom_site_fract_z
Tm1 Tm 0.000 0.000 0.000
Tm2 Tm 0.334 0.334 0.334
Tm3 Tm 0.666 0.666 0.666
Mg1 Mg 0.061 0.061 0.391
Mg2 Mg 0.283 0.283 0.947
Mg3 Mg 0.717 0.717 0.053
Mg4 Mg 0.939 0.939 0.609
Cd1 Cd 0.389 0.389 0.723
Cd2 Cd 0.611 0.611 0.277

---

Entry 7:
# FeCoIrN2 PBE relaxed
# SG: No. 123
# Electronic total energy, eV per atom: -6.61
# Formation energy from raw total energies, eV/atom: 1.605
# Theoretical density, g/cm3: 8.974
data_FeCoIrN2
_symmetry_space_group_name_H-M 'P 1'
_symmetry_Int_Tables_number 1
_cell_length_a 3.478
_cell_length_b 3.478
_cell_length_c 5.126
_cell_angle_alpha 90.00
_cell_angle_beta 90.00
_cell_angle_gamma 90.00
loop_
_symmetry_equiv_pos_as_xyz
'x,y,z'
loop_
_atom_site_label
_atom_site_type_symbol
_atom_site_fract_x
_atom_site_fract_y
_atom_site_fract_z
Fe1 Fe 0.000 0.000 0.000
Co1 Co 0.500 0.500 0.500
Ir1 Ir 0.500 0.500 0.000
N1 N 0.000 0.500 0.500
N2 N 0.500 0.000 0.500

---

Entry 8:
# CsLa2FeW PBE relaxed
# SG: No. 123
# Energy relative to the elements, eV per formula unit: 7.1
# Energy above the lowest structure with this stoichiometry, kJ/mol of formula units: 0
# Electronic total energy, eV per atom: -5.00
# Theoretical density, g/cm3: 6.997
data_CsLa2FeW
_symmetry_space_group_name_H-M 'P 1'
_symmetry_Int_Tables_number 1
_cell_length_a 5.255
_cell_length_b 5.255
_cell_length_c 5.591
_cell_angle_alpha 90.00
_cell_angle_beta 90.00
_cell_angle_gamma 90.00
loop_
_symmetry_equiv_pos_as_xyz
'x,y,z'
loop_
_atom_site_label
_atom_site_type_symbol
_atom_site_fract_x
_atom_site_fract_y
_atom_site_fract_z
Cs1 Cs 0.000 0.000 0.000
La1 La 0.000 0.500 0.500
La2 La 0.500 0.000 0.500
Fe1 Fe 0.000 0.000 0.500
W1 W 0.500 0.500 0.000